No. 1
# PBE-GGA ZrNiSbTe2, optimized geometry
# Mass density in g cm⁻³: 5.12
# Formation energy (no corrections) in eV per atom: 0.62
data_ZrNiSbTe2
_chemical_formula_sum 'Zr1 Ni1 Sb1 Te2'
_space_group_name_H-M_alt 'P 4/m m m'
_space_group_IT_number 123
_space_group_name_Hall '-P 4 2'
_cell_length_a 5.5326
_cell_length_b 5.5326
_cell_length_c 5.5788
_cell_angle_alpha 90.00
_cell_angle_beta 90.00
_cell_angle_gamma 90.00
loop_
_atom_site_label
_atom_site_fract_x
_atom_site_fract_y
_atom_site_fract_z
Zr1 0.0000 0.0000 0.0000
Ni1 0.5000 0.5000 0.5000
Sb1 0.0000 0.0000 0.5000
Te1 0.0000 0.5000 0.0000



No. 2
# PBE-GGA ZrNiSbTe2, optimized geometry
# Mass density in g cm⁻³: 5.81
# Formation energy (no corrections) in eV per atom: 0.70
data_ZrNiSbTe2
_chemical_formula_sum 'Zr1 Ni1 Sb1 Te2'
_space_group_name_H-M_alt 'P 4/m m m'
_space_group_IT_number 123
_space_group_name_Hall '-P 4 2'
_cell_length_a 5.7597
_cell_length_b 5.7597
_cell_length_c 4.5428
_cell_angle_alpha 90.00
_cell_angle_beta 90.00
_cell_angle_gamma 90.00
loop_
_atom_site_label
_atom_site_fract_x
_atom_site_fract_y
_atom_site_fract_z
Zr1 0.0000 0.0000 0.0000
Ni1 0.5000 0.5000 0.0000
Sb1 0.5000 0.5000 0.5000
Te1 0.0000 0.5000 0.5000



No. 3
# PBE-GGA ZrNiSbTe2, optimized geometry
# Mass density in g cm⁻³: 6.98
# Formation energy (no corrections) in eV per atom: 0.23
data_ZrNiSbTe2
_chemical_formula_sum 'Zr1 Ni1 Sb1 Te2'
_space_group_name_H-M_alt 'P 4/m m m'
_space_group_IT_number 123
_space_group_name_Hall '-P 4 2'
_cell_length_a 5.0965
_cell_length_b 5.0965
_cell_length_c 4.8276
_cell_angle_alpha 90.00
_cell_angle_beta 90.00
_cell_angle_gamma 90.00
loop_
_atom_site_label
_atom_site_fract_x
_atom_site_fract_y
_atom_site_fract_z
Zr1 0.0000 0.0000 0.0000
Ni1 0.5000 0.5000 0.5000
Sb1 0.5000 0.5000 0.0000
Te1 0.0000 0.5000 0.5000



No. 4
# PBE-GGA ThNiSb2, optimized geometry
# Mass density in g cm⁻³: 8.78
# Formation energy (no corrections) in eV per atom: 0.01
data_ThNiSb2
_chemical_formula_sum 'Th3 Ni3 Sb6'
_space_group_name_H-M_alt 'R -3 m'
_space_group_IT_number 166
_space_group_name_Hall '-R 3 2"'
_cell_length_a 3.4353
_cell_length_b 3.4353
_cell_length_c 29.6565
_cell_angle_alpha 90.00
_cell_angle_beta 90.00
_cell_angle_gamma 120.00
loop_
_atom_site_label
_atom_site_fract_x
_atom_site_fract_y
_atom_site_fract_z
Th1 0.0000 0.0000 0.0000
Ni1 0.0000 0.0000 0.5000
Sb1 0.0000 0.0000 0.1097



No. 5
# PBE-GGA ThNi3Sb3, optimized geometry
# Mass density in g cm⁻³: 8.10
# Formation energy (no corrections) in eV per atom: -0.08
data_ThNi3Sb3
_chemical_formula_sum 'Th2 Ni6 Sb6'
_space_group_name_H-M_alt 'P m -3 n'
_space_group_IT_number 223
_space_group_name_Hall '-P 4n 2 3'
_cell_length_a 6.8202
_cell_length_b 6.8202
_cell_length_c 6.8202
_cell_angle_alpha 90.00
_cell_angle_beta 90.00
_cell_angle_gamma 90.00
loop_
_atom_site_label
_atom_site_fract_x
_atom_site_fract_y
_atom_site_fract_z
Th1 0.0000 0.0000 0.0000
Ni1 0.0000 0.2500 0.5000
Sb1 0.0000 0.5000 0.2500



No. 6
# PBE-GGA Th3Ni3Sb4, optimized geometry
# Mass density in g cm⁻³: 10.09
# Formation energy (no corrections) in eV per atom: -0.92
data_Th3Ni3Sb4
_chemical_formula_sum 'Th12 Ni12 Sb16'
_space_group_name_H-M_alt 'I -4 3 d'
_space_group_IT_number 220
_space_group_name_Hall 'I -4bd 2c 3'
_cell_length_a 9.6361
_cell_length_b 9.6361
_cell_length_c 9.6361
_cell_angle_alpha 90.00
_cell_angle_beta 90.00
_cell_angle_gamma 90.00
loop_
_atom_site_label
_atom_site_fract_x
_atom_site_fract_y
_atom_site_fract_z
Th1 0.0000 0.2500 0.3750
Ni1 0.0000 0.2500 0.8750
Sb1 0.0813 0.0813 0.0813



No. 7
# PBE-GGA Th3Ni2Sb3, optimized geometry
# Mass density in g cm⁻³: 10.22
# Formation energy (no corrections) in eV per atom: -0.73
data_Th3Ni2Sb3
_chemical_formula_sum 'Th12 Ni8 Sb12'
_space_group_name_H-M_alt 'C m c m'
_space_group_IT_number 63
_space_group_name_Hall '-C 2c 2'
_cell_length_a 4.3190
_cell_length_b 11.3865
_cell_length_c 15.5710
_cell_angle_alpha 90.00
_cell_angle_beta 90.00
_cell_angle_gamma 90.00
loop_
_atom_site_label
_atom_site_fract_x
_atom_site_fract_y
_atom_site_fract_z
Th1 0.0000 0.0702 0.1086
Th2 0.0000 0.3562 0.2500
Ni1 0.0000 0.2334 0.6065
Sb1 0.0000 0.3570 0.7500
Sb2 0.0000 0.3613 0.0445



No. 8
# PBE-GGA Th5NiSb3, optimized geometry
# Mass density in g cm⁻³: 10.48
# Formation energy (no corrections) in eV per atom: -0.75
data_Th5NiSb3
_chemical_formula_sum 'Th10 Ni2 Sb6'
_space_group_name_H-M_alt 'P 63/m c m'
_space_group_IT_number 193
_space_group_name_Hall '-P 6c 2'
_cell_length_a 9.4492
_cell_length_b 9.4492
_cell_length_c 6.4902
_cell_angle_alpha 90.00
_cell_angle_beta 90.00
_cell_angle_gamma 120.00
loop_
_atom_site_label
_atom_site_fract_x
_atom_site_fract_y
_atom_site_fract_z
Th1 0.0000 0.2506 0.2500
Th2 0.3333 0.6667 0.0000
Ni1 0.0000 0.0000 0.0000
Sb1 0.0000 0.3894 0.7500



No. 9
# PBE-GGA Th5Ni2Sb, optimized geometry
# Mass density in g cm⁻³: 11.08
# Formation energy (no corrections) in eV per atom: -0.38
data_Th5Ni2Sb
_chemical_formula_sum 'Th20 Ni8 Sb4'
_space_group_name_H-M_alt 'I 4/m c m'
_space_group_IT_number 140
_space_group_name_Hall '-I 4 2c'
_cell_length_a 7.6229
_cell_length_b 7.6229
_cell_length_c 14.4398
_cell_angle_alpha 90.00
_cell_angle_beta 90.00
_cell_angle_gamma 90.00
loop_
_atom_site_label
_atom_site_fract_x
_atom_site_fract_y
_atom_site_fract_z
Th1 0.0000 0.0000 0.0000
Th2 0.1529 0.3471 0.1414
Ni1 0.1325 0.3675 0.5000
Sb1 0.0000 0.0000 0.2500



No. 10
# PBE-GGA ThNi3Sb3, optimized geometry
# Mass density in g cm⁻³: 8.17
# Formation energy (no corrections) in eV per atom: -0.29
data_ThNi3Sb3
_chemical_formula_sum 'Th6 Ni18 Sb18'
_space_group_name_H-M_alt 'R -3'
_space_group_IT_number 148
_space_group_name_Hall '-R 3'
_cell_length_a 7.5059
_cell_length_b 7.5059
_cell_length_c 19.3339
_cell_angle_alpha 90.00
_cell_angle_beta 90.00
_cell_angle_gamma 120.00
loop_
_atom_site_label
_atom_site_fract_x
_atom_site_fract_y
_atom_site_fract_z
Th1 0.0000 0.0000 0.1685
Ni1 0.0036 0.6381 0.4040
Sb1 0.0041 0.7038 0.6015



No. 11
# PBE-GGA Th2Ni9Sb, optimized geometry
# Mass density in g cm⁻³: 10.36
# Formation energy (no corrections) in eV per atom: -0.24
data_Th2Ni9Sb
_chemical_formula_sum 'Th6 Ni27 Sb3'
_space_group_name_H-M_alt 'R -3 m'
_space_group_IT_number 166
_space_group_name_Hall '-R 3 2"'
_cell_length_a 4.9890
_cell_length_b 4.9890
_cell_length_c 24.8492
_cell_angle_alpha 90.00
_cell_angle_beta 90.00
_cell_angle_gamma 120.00
loop_
_atom_site_label
_atom_site_fract_x
_atom_site_fract_y
_atom_site_fract_z
Th1 0.0000 0.0000 0.1318
Ni1 0.0000 0.0000 0.3328
Ni2 0.0000 0.0000 0.5000
Ni3 0.0010 0.5005 0.9171
Sb1 0.0000 0.0000 0.0000



No. 12
# PBE-GGA Th3NiSb, optimized geometry
# Mass density in g cm⁻³: 10.35
# Formation energy (no corrections) in eV per atom: -0.35
data_Th3NiSb
_chemical_formula_sum 'Th12 Ni4 Sb4'
_space_group_name_H-M_alt 'C m m m'
_space_group_IT_number 65
_space_group_name_Hall '-C 2 2'
_cell_length_a 7.7324
_cell_length_b 15.0450
_cell_length_c 4.8370
_cell_angle_alpha 90.00
_cell_angle_beta 90.00
_cell_angle_gamma 90.00
loop_
_atom_site_label
_atom_site_fract_x
_atom_site_fract_y
_atom_site_fract_z
Th1 0.0000 0.1336 0.0000
Th2 0.1907 0.5000 0.5000
Th3 0.2500 0.2500 0.5000
Ni1 0.0000 0.0842 0.5000
Sb1 0.0000 0.3579 0.0000



What is the mass density in the fourth record?
8.78 g cm⁻³